Record 1
An optimized crystal structure of HfNb3P, computed with PBE-GGA.

The energy above the most stable polymorph in this dataset is 2.361 eV per atom. For the total moment, the calculation gives 0.00 μB/atom. The calculation puts the total energy at -7.299 eV per atom. As for the crystal system: cubic. As for the energy of formation: 1.82 eV/atom.

It has space group Pm-3m (No. 221), with a = 4.905 Å, b = 4.905 Å, c = 4.905 Å, α = 90.00°, β = 90.00° and γ = 90.00°. The asymmetric unit holds Hf at (0.000, 0.000, 0.000), Nb at (0.000, 0.000, 0.500) and P at (0.500, 0.500, 0.500).

=====

Record 2
An optimized crystal structure of Pm5Si4Hg, computed with PBE-GGA.

The uncorrected formation energy comes out at -0.45 eV per atom. For the total moment, the calculation gives 0.00 μB/atom. The calculation puts the total energy at -5.024 eV per atom. As for the crystal system: tetragonal.

It has space group P4/mmm (No. 123), with a = 3.406 Å, b = 3.406 Å, c = 20.691 Å, α = 90.00°, β = 90.00° and γ = 90.00°. The asymmetric unit holds Pm at (0.000, 0.000, 0.000), Pm at (0.000, 0.000, 0.195), Pm at (0.000, 0.000, 0.386), Si at (0.500, 0.500, 0.098), Si at (0.500, 0.500, 0.294) and Hg at (0.500, 0.500, 0.500).

=====

Record 3
An optimized crystal structure of AlSb2Rh, computed with PBE-GGA.

The uncorrected formation energy comes out at -0.06 eV per atom. For the total moment, the calculation gives 0.00 μB/atom. The calculation puts the total energy at -4.892 eV per atom. As for the crystal system: orthorhombic.

It has space group Imm2 (No. 44), with a = 3.164 Å, b = 4.539 Å, c = 11.867 Å, α = 90.00°, β = 90.00° and γ = 90.00°. The asymmetric unit holds Al at (0.000, 0.000, 0.000), Sb at (0.000, 0.000, 0.382), Sb at (0.000, 0.500, 0.165) and Rh at (0.000, 0.500, 0.684).